LiErUS4 | PBE | optimized geometry

a b c (Å): 7.840 8.001 11.150
angles (deg): 90.00 90.00 90.00
Space group Imma (No. 74)
One atom of each set of equivalent atoms:
Li: 0.000 0.250 0.132
Er: 0.250 0.250 0.750
U: 0.000 0.000 0.500
S: 0.000 0.015 0.741
S: 0.234 0.250 0.506

The calculation puts the uncorrected formation energy at -1.63 eV per atom.



LiEr2US6 | PBE | optimized geometry

a b c (Å): 6.302 6.302 6.342
angles (deg): 90.00 90.00 90.00
Space group P4mm (No. 99)
One atom of each set of equivalent atoms:
Li: 0.000 0.000 0.000
Er: 0.000 0.500 0.451
U: 0.500 0.500 0.057
S: 0.000 0.000 0.634
S: 0.240 0.240 0.210
S: 0.500 0.500 0.642

The calculation puts the uncorrected formation energy at -1.27 eV per atom.



Li2Er2US6 | PBE | optimized geometry

a b c (Å): 6.792 11.786 6.539
angles (deg): 90.00 109.80 90.00
Space group C2/m (No. 12)
One atom of each set of equivalent atoms:
Li: 0.000 0.171 0.000
Er: 0.000 0.335 0.500
U: 0.000 0.000 0.500
S: 0.241 0.169 0.743
S: 0.246 0.000 0.258

The calculation puts the uncorrected formation energy at -1.69 eV per atom.



Li3ErU2S6 | PBE | optimized geometry

a b c (Å): 6.709 11.624 6.621
angles (deg): 90.00 109.73 90.00
Space group C2/m (No. 12)
One atom of each set of equivalent atoms:
Li: 0.000 0.000 0.000
Li: 0.000 0.336 0.000
Er: 0.000 0.500 0.500
U: 0.000 0.167 0.500
S: 0.246 0.500 0.245
S: 0.249 0.166 0.245

The calculation puts the uncorrected formation energy at -1.51 eV per atom.



LiErU2S5 | PBE | optimized geometry

a b c (Å): 4.924 4.924 9.479
angles (deg): 90.00 90.00 90.00
Space group P4/mmm (No. 123)
One atom of each set of equivalent atoms:
Li: 0.000 0.000 0.000
Er: 0.000 0.000 0.500
U: 0.500 0.500 0.286
S: 0.000 0.000 0.229
S: 0.000 0.500 0.500
S: 0.500 0.500 0.000

The calculation puts the uncorrected formation energy at -1.04 eV per atom.



Li2ErUS4 | PBE | optimized geometry

a b c (Å): 6.605 3.867 6.729
angles (deg): 90.00 109.85 90.00
Space group P2/m (No. 10)
One atom of each set of equivalent atoms:
Li: 0.000 0.000 0.000
Li: 0.000 0.500 0.500
Er: 0.500 0.000 0.500
U: 0.500 0.500 0.000
S: 0.245 0.000 0.745
S: 0.248 0.500 0.251

The calculation puts the uncorrected formation energy at -1.58 eV per atom.



Li2ErUS6 | PBE | optimized geometry

a b c (Å): 6.564 7.161 11.269
angles (deg): 90.00 124.17 90.00
Space group P2_1/c (No. 14)
One atom of each set of equivalent atoms:
Li: 0.208 0.091 0.244
Er: 0.000 0.000 0.500
U: 0.500 0.000 0.000
S: 0.109 0.189 0.912
S: 0.238 0.699 0.909
S: 0.423 0.057 0.757

The calculation puts the uncorrected formation energy at -1.21 eV per atom.



Li3Er3VS8 | PBE | optimized geometry

a b c (Å): 7.5848 7.5848 18.4336
angles (deg): 90.00 90.00 120.00
Space group R-3m (No. 166, hexagonal axes)
One atom of each set of equivalent atoms:
Li: 0.0000 0.5000 0.0000
Er: 0.0000 0.5000 0.5000
V: 0.0000 0.0000 0.5000
S: 0.0000 0.0000 0.2510
S: 0.0305 0.5152 0.2443

The calculation puts the uncorrected formation energy at -1.60 eV per atom.



LiY2Er3S6 | PBE | optimized geometry

a b c (Å): 6.689 11.614 6.704
angles (deg): 90.00 109.57 90.00
Space group C2/m (No. 12)
One atom of each set of equivalent atoms:
Li: 0.000 0.000 0.000
Y: 0.000 0.334 0.000
Er: 0.000 0.166 0.500
Er: 0.000 0.500 0.500
S: 0.241 0.000 0.753
S: 0.246 0.163 0.250

The calculation puts the uncorrected formation energy at -1.95 eV per atom.



Li3YEr2S6 | PBE | optimized geometry

a b c (Å): 6.739 11.674 6.564
angles (deg): 90.00 109.98 90.00
Space group C2/m (No. 12)
One atom of each set of equivalent atoms:
Li: 0.000 0.000 0.000
Li: 0.000 0.333 0.000
Y: 0.000 0.500 0.500
Er: 0.000 0.167 0.500
S: 0.247 0.000 0.750
S: 0.249 0.168 0.251

The calculation puts the uncorrected formation energy at -1.86 eV per atom.



LiY3Er2S6 | PBE | optimized geometry

a b c (Å): 6.692 11.621 6.732
angles (deg): 90.00 109.49 90.00
Space group C2/m (No. 12)
One atom of each set of equivalent atoms:
Li: 0.000 0.000 0.000
Y: 0.000 0.165 0.500
Y: 0.000 0.500 0.500
Er: 0.000 0.334 0.000
S: 0.244 0.164 0.242
S: 0.246 0.000 0.761

The calculation puts the uncorrected formation energy at -1.96 eV per atom.



LiYEr2S5 | PBE | optimized geometry

a b c (Å): 3.872 16.096 11.790
angles (deg): 90.00 90.00 90.00
Space group Cmc2_1 (No. 36)
One atom of each set of equivalent atoms:
Li: 0.000 0.012 0.000
Y: 0.000 0.304 0.518
Er: 0.000 0.377 0.808
Er: 0.000 0.392 0.201
S: 0.000 0.000 0.303
S: 0.000 0.136 0.523
S: 0.000 0.193 0.856
S: 0.000 0.213 0.182
S: 0.000 0.455 0.594

The calculation puts the uncorrected formation energy at -1.85 eV per atom.